VASP calculation (GGA-PBE) on an optimized crystal structure of Cs2RbUS4.

a b c (Å): 4.2723 8.4040 8.0945
angles (deg): 70.64 90.00 90.00
Last column: nearest neighbours and their distance in Å.
Fractional coordinates of all 8 atoms:
Cs (0.0000, 0.0000, 0.0000)  4 S 3.69
Cs (0.5000, 0.0000, 0.5000)  6 S 3.38-3.48
Rb (0.5000, 0.5000, 0.0000)  6 S 3.25-3.37
U (0.0000, 0.5000, 0.5000)  6 S 2.52-2.77
S (0.0000, 0.6816, 0.6936)  1 U 2.52
S (0.0000, 0.3184, 0.3064)  1 U 2.52
S (0.5000, 0.6830, 0.3123)  2 U 2.77
S (0.5000, 0.3170, 0.6877)  2 U 2.77

Results
Spin magnetization ... 1.00 μB per formula unit
Energy relative to the elements, uncorrected ... -1.2889 eV per atom
Space-group type ... P2/m
E_tot ... -5.098 eV/atom

***

VASP calculation (GGA-PBE) on an optimized crystal structure of SrCr2Pt.

a b c (Å): 4.3958 4.3958 6.0977
angles (deg): 68.89 68.89 60.00
Last column: nearest neighbours and their distance in Å.
Fractional coordinates of all 4 atoms:
Cr (0.0490, 0.0490, 0.8533)  3 Cr 2.65, 3 Pt 2.73
Cr (0.7613, 0.7613, 0.7161)  3 Pt 2.55, 3 Cr 2.65
Pt (0.4432, 0.4432, 0.6704)  6 Cr 2.55-2.73
Sr (0.2466, 0.2466, 0.2602)  4 Pt 3.27-3.41, 7 Cr 3.29-3.58

Results
Spin magnetization ... 1.07 μB per formula unit
Space-group type ... R3m
E_tot ... -6.692 eV/atom
ΔE_f ... 0.05 eV per atom

***

VASP calculation (GGA-PBE) on an optimized crystal structure of PmY6Ho3Tm2.

a b c (Å): 6.1475 6.1475 11.7808
angles (deg): 94.97 94.97 119.94
Last column: nearest neighbours and their distance in Å.
Fractional coordinates of all 12 atoms:
Pm (0.0000, 0.0000, 0.0000)  6 Tm 3.55, 6 Y 3.56
Y (0.9159, 0.5820, 0.7495)  3 Ho 3.54-3.55, 6 Y 3.54-3.56, 2 Tm 3.55-3.56, 1 Pm 3.56
Y (0.7499, 0.7499, 0.2505)  6 Y 3.54-3.56, 3 Ho 3.55, 2 Tm 3.56, 1 Pm 3.56
Y (0.0841, 0.4180, 0.2505)  3 Ho 3.54-3.55, 6 Y 3.54-3.56, 2 Tm 3.55-3.56, 1 Pm 3.56
Y (0.5820, 0.9159, 0.7495)  3 Ho 3.54-3.55, 6 Y 3.54-3.56, 2 Tm 3.55-3.56, 1 Pm 3.56
Y (0.2501, 0.2501, 0.7495)  6 Y 3.54-3.56, 3 Ho 3.55, 2 Tm 3.56, 1 Pm 3.56
Y (0.4180, 0.0841, 0.2505)  3 Ho 3.54-3.55, 6 Y 3.54-3.56, 2 Tm 3.55-3.56, 1 Pm 3.56
Ho (0.1670, 0.8330, 0.5000)  6 Y 3.54-3.55, 6 Ho 3.54-3.56
Ho (0.8330, 0.1670, 0.5000)  6 Y 3.54-3.55, 6 Ho 3.54-3.56
Ho (0.5000, 0.5000, 0.5000)  6 Ho 3.54-3.55, 6 Y 3.55
Tm (0.3334, 0.6666, 0.0000)  3 Tm 3.55, 3 Pm 3.55, 6 Y 3.55-3.56
Tm (0.6666, 0.3334, 0.0000)  3 Tm 3.55, 3 Pm 3.55, 6 Y 3.55-3.56

Results
Spin magnetization ... 0.00 μB per formula unit
Space-group type ... C2/m
E_tot ... -5.494 eV/atom
ΔE_f ... 0.02 eV per atom

***

VASP calculation (GGA-PBE) on an optimized crystal structure of HfGaSb3.

a b c (Å): 5.1931 5.1931 5.1931
angles (deg): 90.00 90.00 90.00
Last column: nearest neighbours and their distance in Å.
Fractional coordinates of all 5 atoms:
Sb (0.0000, 0.5000, 0.0000)  2 Ga 2.60
Sb (0.0000, 0.0000, 0.5000)  2 Ga 2.60
Sb (0.5000, 0.0000, 0.0000)  2 Ga 2.60
Hf (0.5000, 0.5000, 0.5000)  12 Sb 3.67
Ga (0.0000, 0.0000, 0.0000)  6 Sb 2.60

Results
Spin magnetization ... 0.00 μB per formula unit
Energy relative to the elements, uncorrected ... 0.7637 eV per atom
Space-group type ... Pm-3m
E_tot ... -4.306 eV/atom

***

VASP calculation (GGA-PBE) on an optimized crystal structure of Mg3In5Sn12.

a b c (Å): 14.9309 14.9309 14.9309
angles (deg): 109.47 109.47 109.47
Last column: nearest neighbours and their distance in Å.
Fractional coordinates of all 80 atoms:
Mg (0.7500, 0.3750, 0.1250)  4 Sn 2.89
Mg (0.8750, 0.7500, 0.1250)  4 Sn 2.89
Mg (0.3750, 0.7500, 0.6250)  4 Sn 2.89
Mg (0.2500, 0.1250, 0.3750)  4 Sn 2.89
Mg (0.8750, 0.1250, 0.2500)  4 Sn 2.89
Mg (0.3750, 0.6250, 0.2500)  4 Sn 2.89
Mg (0.6250, 0.3750, 0.7500)  4 Sn 2.89
Mg (0.1250, 0.8750, 0.7500)  4 Sn 2.89
Mg (0.7500, 0.8750, 0.6250)  4 Sn 2.89
Mg (0.6250, 0.2500, 0.3750)  4 Sn 2.89
Mg (0.1250, 0.2500, 0.8750)  4 Sn 2.89
Mg (0.2500, 0.6250, 0.8750)  4 Sn 2.89
In (0.1250, 0.3750, 0.2500)  4 Sn 2.93
In (0.0000, 0.5000, 0.0000)  6 Sn 3.00
In (0.0000, 0.0000, 0.0000)  6 Sn 3.00
In (0.3750, 0.2500, 0.1250)  4 Sn 2.93
In (0.5000, 0.0000, 0.5000)  6 Sn 3.00
In (0.5000, 0.5000, 0.0000)  6 Sn 3.00
In (0.1250, 0.7500, 0.3750)  4 Sn 2.93
In (0.7500, 0.1250, 0.8750)  4 Sn 2.93
In (0.7500, 0.6250, 0.3750)  4 Sn 2.93
In (0.3750, 0.1250, 0.7500)  4 Sn 2.93
In (0.6250, 0.8750, 0.2500)  4 Sn 2.93
In (0.5000, 0.5000, 0.5000)  6 Sn 3.00
In (0.5000, 0.0000, 0.0000)  6 Sn 3.00
In (0.0000, 0.0000, 0.5000)  6 Sn 3.00
In (0.2500, 0.3750, 0.6250)  4 Sn 2.93
In (0.2500, 0.8750, 0.1250)  4 Sn 2.93
In (0.0000, 0.5000, 0.5000)  6 Sn 3.00
In (0.8750, 0.2500, 0.6250)  4 Sn 2.93
In (0.6250, 0.7500, 0.8750)  4 Sn 2.93
In (0.8750, 0.6250, 0.7500)  4 Sn 2.93
Sn (0.7362, 0.1341, 0.0688)  1 Mg 2.89, 2 In 2.93-3.00, 1 Sn 3.14
Sn (0.3326, 0.5688, 0.4347)  1 Mg 2.89, 2 In 2.93-3.00, 1 Sn 3.14
Sn (0.9312, 0.3659, 0.2638)  1 Mg 2.89, 2 In 2.93-3.00, 1 Sn 3.14
Sn (0.5688, 0.2362, 0.1341)  1 Mg 2.89, 2 In 2.93-3.00, 1 Sn 3.14
Sn (0.6021, 0.7362, 0.6674)  1 Mg 2.89, 2 In 2.93-3.00, 1 Sn 3.14
Sn (0.9312, 0.5653, 0.1674)  1 Mg 2.89, 2 In 2.93-3.00, 1 Sn 3.14
Sn (0.3326, 0.7638, 0.3979)  1 Mg 2.89, 2 In 2.93-3.00, 1 Sn 3.14
Sn (0.0653, 0.8979, 0.1341)  1 Mg 2.89, 2 In 2.93-3.00, 1 Sn 3.14
Sn (0.5653, 0.9312, 0.6674)  1 Mg 2.89, 2 In 2.93-3.00, 1 Sn 3.14
Sn (0.7362, 0.6021, 0.1674)  1 Mg 2.89, 2 In 2.93-3.00, 1 Sn 3.14
Sn (0.7638, 0.4312, 0.3659)  1 Mg 2.89, 2 In 2.93-3.00, 1 Sn 3.14
Sn (0.8326, 0.9347, 0.0688)  1 Mg 2.89, 2 In 2.93-3.00, 1 Sn 3.14
Sn (0.1341, 0.7362, 0.5688)  1 Mg 2.89, 2 In 2.93-3.00, 1 Sn 3.14
Sn (0.3659, 0.4347, 0.1021)  1 Mg 2.89, 2 In 2.93-3.00, 1 Sn 3.14
Sn (0.1021, 0.9347, 0.3659)  1 Mg 2.89, 2 In 2.93-3.00, 1 Sn 3.14
Sn (0.3979, 0.1341, 0.5653)  1 Mg 2.89, 2 In 2.93-3.00, 1 Sn 3.14
Sn (0.1021, 0.1674, 0.2362)  1 Mg 2.89, 2 In 2.93-3.00, 1 Sn 3.14
Sn (0.4312, 0.6674, 0.0653)  1 Mg 2.89, 2 In 2.93-3.00, 1 Sn 3.14
Sn (0.8326, 0.8979, 0.2638)  1 Mg 2.89, 2 In 2.93-3.00, 1 Sn 3.14
Sn (0.1341, 0.3979, 0.0653)  1 Mg 2.89, 2 In 2.93-3.00, 1 Sn 3.14
Sn (0.3659, 0.9312, 0.7638)  1 Mg 2.89, 2 In 2.93-3.00, 1 Sn 3.14
Sn (0.5653, 0.6341, 0.3979)  1 Mg 2.89, 2 In 2.93-3.00, 1 Sn 3.14
Sn (0.9347, 0.8326, 0.5688)  1 Mg 2.89, 2 In 2.93-3.00, 1 Sn 3.14
Sn (0.7638, 0.3326, 0.8979)  1 Mg 2.89, 2 In 2.93-3.00, 1 Sn 3.14
Sn (0.4347, 0.3659, 0.6021)  1 Mg 2.89, 2 In 2.93-3.00, 1 Sn 3.14
Sn (0.0653, 0.1674, 0.4312)  1 Mg 2.89, 2 In 2.93-3.00, 1 Sn 3.14
Sn (0.2362, 0.6674, 0.1021)  1 Mg 2.89, 2 In 2.93-3.00, 1 Sn 3.14
Sn (0.1674, 0.1021, 0.7362)  1 Mg 2.89, 2 In 2.93-3.00, 1 Sn 3.14
Sn (0.6341, 0.0688, 0.2362)  1 Mg 2.89, 2 In 2.93-3.00, 1 Sn 3.14
Sn (0.8659, 0.6021, 0.9347)  1 Mg 2.89, 2 In 2.93-3.00, 1 Sn 3.14
Sn (0.5688, 0.3326, 0.9347)  1 Mg 2.89, 2 In 2.93-3.00, 1 Sn 3.14
Sn (0.6021, 0.8659, 0.4347)  1 Mg 2.89, 2 In 2.93-3.00, 1 Sn 3.14
Sn (0.8979, 0.8326, 0.7638)  1 Mg 2.89, 2 In 2.93-3.00, 1 Sn 3.14
Sn (0.8979, 0.0653, 0.6341)  1 Mg 2.89, 2 In 2.93-3.00, 1 Sn 3.14
Sn (0.8659, 0.2638, 0.4312)  1 Mg 2.89, 2 In 2.93-3.00, 1 Sn 3.14
Sn (0.1674, 0.0653, 0.9312)  1 Mg 2.89, 2 In 2.93-3.00, 1 Sn 3.14
Sn (0.6341, 0.5653, 0.8979)  1 Mg 2.89, 2 In 2.93-3.00, 1 Sn 3.14
Sn (0.4347, 0.0688, 0.3326)  1 Mg 2.89, 2 In 2.93-3.00, 1 Sn 3.14
Sn (0.2638, 0.3979, 0.8326)  1 Mg 2.89, 2 In 2.93-3.00, 1 Sn 3.14
Sn (0.2362, 0.5688, 0.6341)  1 Mg 2.89, 2 In 2.93-3.00, 1 Sn 3.14
Sn (0.9347, 0.1021, 0.8659)  1 Mg 2.89, 2 In 2.93-3.00, 1 Sn 3.14
Sn (0.6674, 0.2362, 0.6021)  1 Mg 2.89, 2 In 2.93-3.00, 1 Sn 3.14
Sn (0.4312, 0.7638, 0.8659)  1 Mg 2.89, 2 In 2.93-3.00, 1 Sn 3.14
Sn (0.0688, 0.4347, 0.8326)  1 Mg 2.89, 2 In 2.93-3.00, 1 Sn 3.14
Sn (0.3979, 0.2638, 0.3326)  1 Mg 2.89, 2 In 2.93-3.00, 1 Sn 3.14
Sn (0.0688, 0.6341, 0.7362)  1 Mg 2.89, 2 In 2.93-3.00, 1 Sn 3.14
Sn (0.6674, 0.4312, 0.5653)  1 Mg 2.89, 2 In 2.93-3.00, 1 Sn 3.14
Sn (0.2638, 0.8659, 0.9312)  1 Mg 2.89, 2 In 2.93-3.00, 1 Sn 3.14

Results
Spin magnetization ... 0.00 μB per formula unit
Space-group type ... Ia-3d
E_tot ... -3.192 eV/atom
ΔE_f ... 0.13 eV per atom

***

VASP calculation (GGA-PBE) on an optimized crystal structure of Ta2BeZnBi.

a b c (Å): 5.2210 4.9123 5.2210
angles (deg): 90.00 90.00 90.00
Last column: nearest neighbours and their distance in Å.
Fractional coordinates of all 5 atoms:
Be (0.5000, 0.5000, 0.5000)  8 Ta 3.58, 4 Zn 3.69
Zn (0.0000, 0.5000, 0.0000)  2 Bi 2.46
Bi (0.0000, 0.0000, 0.0000)  2 Zn 2.46, 4 Ta 2.61
Ta (0.0000, 0.0000, 0.5000)  2 Bi 2.61
Ta (0.5000, 0.0000, 0.0000)  2 Bi 2.61

Results
Spin magnetization ... 0.00 μB per formula unit
Space-group type ... P4/mmm
E_tot ... -4.149 eV/atom
ΔE_f ... 2.37 eV per atom